# LaBe2Ir2

An optimized crystal structure of LaBe2Ir2 (PBE-GGA, Alexandria via LeMat-Bulk).

Properties
- Uncorrected energy: -63.844 eV per cell
- Density: 11.95 g cm⁻³

a b c (Å): 7.146 7.146 2.947
angles (deg): 90.00 90.00 90.00
Space group P4/mbm (No. 127)
Inequivalent atoms, fractional coordinates:
La 0.000 0.000 0.000
Be 0.112 0.388 0.000
Ir 0.153 0.653 0.500